This record from the Alexandria database describes a crystal of LaAs2Os relaxed with PBEsol. The functional is meta-GGA SCAN.

Properties
total energy	-1.44090	Ha/atom
crystal system	orthorhombic
total magnetization	0.000	μB per cell

Lattice parameters (Å, degrees): 7.0967 7.0967 7.0967 154.09 148.51 41.22
Closest atoms and distances in Å follow each position.
Atoms (fractional coordinates):
La 0.0000 0.0000 0.0000  6 As 2.97-3.00, 2 La 3.18
As 0.3791 0.3791 0.0000  2 Os 2.46
As 0.6733 0.1733 0.5000  4 Os 2.64
Os 0.2376 0.7376 0.5000  6 As 2.46-2.64

=====

This record from the Alexandria database describes a crystal of La2AlTl relaxed with PBEsol. The functional is meta-GGA SCAN.

Properties
total energy	-1.54674	Ha/atom
crystal system	orthorhombic
total magnetization	0.004	μB per cell

Lattice parameters (Å, degrees): 4.2686 4.8877 5.2042 90.00 90.00 90.00
Closest atoms and distances in Å follow each position.
Atoms (fractional coordinates):
La 0.0000 0.0000 0.0000  2 La 3.22, 4 Tl 3.30, 4 Al 3.32-3.41
La 0.0000 0.5000 0.4015  2 La 3.22, 4 Tl 3.28-3.45, 4 Al 3.29
Al 0.5000 0.0000 0.5117  2 Tl 3.11, 8 La 3.29-3.41
Tl 0.5000 0.5000 0.8812  2 Al 3.11, 8 La 3.28-3.45

=====

This record from the Alexandria database describes a crystal of CaPtCl3 relaxed with PBEsol. The functional is meta-GGA SCAN.

Properties
formation energy without anion corrections	-21.43	kcal/mol of atoms
crystal system	cubic
total magnetization	0.000	μB per cell

Lattice parameters (Å, degrees): 4.8828 4.8828 4.8828 90.00 90.00 90.00
Closest atoms and distances in Å follow each position.
Atoms (fractional coordinates):
Ca 0.0000 0.0000 0.0000  12 Cl 3.45
Pt 0.5000 0.5000 0.5000  6 Cl 2.44
Cl 0.0000 0.5000 0.5000  2 Pt 2.44
Cl 0.5000 0.0000 0.5000  2 Pt 2.44
Cl 0.5000 0.5000 0.0000  2 Pt 2.44

=====

This record from the Alexandria database describes a crystal of Li2NiAs relaxed with PBEsol. The functional is meta-GGA SCAN.

Properties
total energy	-0.38840	Ha/atom
crystal system	orthorhombic
total magnetization	0.000	μB per cell

Lattice parameters (Å, degrees): 2.7548 3.9297 4.7515 90.00 90.00 90.00
Closest atoms and distances in Å follow each position.
Atoms (fractional coordinates):
Li 0.0000 0.0000 0.2488  2 Li 2.36-2.39
Li 0.0000 0.0000 0.7512  2 Li 2.36-2.39
Ni 0.5000 0.5000 0.0000  2 As 2.38
As 0.5000 0.5000 0.5000  2 Ni 2.38

=====

This record from the Alexandria database describes a crystal of Te2OsRh2 relaxed with PBEsol. The functional is meta-GGA SCAN.

Properties
formation energy without anion corrections	23.83	kcal/mol of atoms
crystal system	tetragonal
total magnetization	2.238	μB per cell

Lattice parameters (Å, degrees): 6.2108 6.2108 6.2108 140.13 140.13 57.65
Closest atoms and distances in Å follow each position.
Atoms (fractional coordinates):
Te 0.2500 0.7500 0.5000  4 Rh 2.58
Te 0.7500 0.2500 0.5000  4 Rh 2.58
Os 0.0000 0.0000 0.0000  8 Rh 3.24, 8 Te 3.45
Rh 0.3862 0.3862 0.0000  1 Rh 2.48, 4 Te 2.58
Rh 0.6138 0.6138 0.0000  1 Rh 2.48, 4 Te 2.58

=====

This record from the Alexandria database describes a crystal of Na3ReTe relaxed with PBEsol. The functional is meta-GGA SCAN.

Properties
formation energy without anion corrections	26.84	kcal/mol of atoms
crystal system	cubic
total magnetization	4.001	μB per cell

Lattice parameters (Å, degrees): 5.5927 5.5927 5.5927 90.00 90.00 90.00
Closest atoms and distances in Å follow each position.
Atoms (fractional coordinates):
Na 0.0000 0.0000 0.5000  2 Re 2.80
Na 0.0000 0.5000 0.0000  2 Re 2.80
Na 0.5000 0.0000 0.0000  2 Re 2.80
Re 0.0000 0.0000 0.0000  6 Na 2.80
Te 0.5000 0.5000 0.5000  12 Na 3.95

=====

This record from the Alexandria database describes a crystal of YPW relaxed with PBEsol. The functional is meta-GGA SCAN.

Properties
total energy	-1.27226	Ha/atom
crystal system	cubic
total magnetization	3.151	μB per cell

Lattice parameters (Å, degrees): 4.5609 4.5609 4.5609 60.00 60.00 60.00
Closest atoms and distances in Å follow each position.
Atoms (fractional coordinates):
Y 0.0000 0.0000 0.0000  4 P 2.79, 4 W 2.79
P 0.2500 0.2500 0.2500  4 Y 2.79
W 0.7500 0.7500 0.7500  4 Y 2.79

=====

This record from the Alexandria database describes a crystal of TaTl2As relaxed with PBEsol. The functional is meta-GGA SCAN.

Properties
total energy	-2.10339	Ha/atom
crystal system	orthorhombic
total magnetization	0.000	μB per cell

Lattice parameters (Å, degrees): 3.0558 5.1782 5.3676 90.00 90.00 90.00
Closest atoms and distances in Å follow each position.
Atoms (fractional coordinates):
Ta 0.0000 0.0000 0.0000  4 As 3.01, 2 Ta 3.06, 4 Tl 3.09
Tl 0.0000 0.5000 0.5000  6 Tl 3.01-3.06, 4 As 3.09
Tl 0.5000 0.0000 0.5000  6 Tl 3.01-3.06, 4 Ta 3.09
As 0.5000 0.5000 0.0000  4 Ta 3.01, 2 As 3.06, 4 Tl 3.09